The following is a PBE with a Hubbard U calculation of a relaxed structure of ZnFeIO2, from Alexandria via LeMat-Bulk.

Geometry as extended XYZ:
```
5
Lattice="3.821 0.000 0.000 0.000 6.789 0.000 0.000 0.000 3.821" Properties=species:S:1:pos:R:3 pbc="T T T"
I 1.910 3.395 1.910
Zn 0.000 3.395 0.000
Fe 0.000 0.000 0.000
O 0.000 0.000 1.910
O 1.910 0.000 0.000
```

Total magnetic moment = 5.07 μB per cell
Crystal system = tetragonal
Total DFT energy (no corrections) = -3.9585 eV/atom
Symmetry = P4/mmm
E above lowest polymorph = 0.056 eV/atom
V = 99.1 Å³/f.u.